# 1
# TaSiBr2

A relaxed TaSiBr2 crystal (PBE-GGA, Alexandria via LeMat-Bulk).

a = 7.142 Å, b = 7.142 Å, c = 7.142 Å
α = 97.11°, β = 97.11°, γ = 138.81°
Sites, in units of the cell vectors:
Ta (0.000, 0.000, 0.000)
Ta (0.750, 0.250, 0.500)
Si (0.250, 0.750, 0.500)
Si (0.500, 0.500, 0.000)
Br (0.375, 0.228, 0.353)
Br (0.772, 0.125, 0.147)
Br (0.875, 0.022, 0.647)
Br (0.978, 0.625, 0.853)

VASP energy	-38.73	eV per cell
relative energy among the computed polymorphs	2.46	eV per formula unit
formation energy (no corrections)	7.25	kcal/mol of atoms

# 2
# TaSi3Br

A relaxed TaSi3Br crystal (PBE-GGA, Alexandria via LeMat-Bulk).

a = 4.995 Å, b = 4.995 Å, c = 4.995 Å
α = 90.00°, β = 90.00°, γ = 90.00°
Sites, in units of the cell vectors:
Ta (0.000, 0.000, 0.000)
Si (0.000, 0.000, 0.500)
Si (0.000, 0.500, 0.000)
Si (0.500, 0.000, 0.000)
Br (0.500, 0.500, 0.500)

VASP energy	-26.37	eV per cell
formation energy (no corrections)	15.79	kcal/mol of atoms

# 3
# TaSiBr3

A relaxed TaSiBr3 crystal (PBE-GGA, Alexandria via LeMat-Bulk).

a = 5.181 Å, b = 5.181 Å, c = 5.181 Å
α = 90.00°, β = 90.00°, γ = 90.00°
Sites, in units of the cell vectors:
Ta (0.000, 0.000, 0.000)
Si (0.500, 0.500, 0.500)
Br (0.000, 0.000, 0.500)
Br (0.000, 0.500, 0.000)
Br (0.500, 0.000, 0.000)

VASP energy	-19.73	eV per cell
relative energy among the computed polymorphs	0.00	eV per formula unit
formation energy (no corrections)	11.83	kcal/mol of atoms

# 4
# Ta2SiBr

A relaxed Ta2SiBr crystal (PBE-GGA, Alexandria via LeMat-Bulk).

a = 4.622 Å, b = 2.937 Å, c = 5.588 Å
α = 90.00°, β = 112.44°, γ = 90.00°
Sites, in units of the cell vectors:
Ta (0.000, 0.000, 0.000)
Ta (0.000, 0.500, 0.500)
Si (0.500, 0.000, 0.500)
Br (0.500, 0.500, 0.000)

VASP energy	-29.28	eV per cell
relative energy among the computed polymorphs	1.14	eV per formula unit
formation energy (no corrections)	8.76	kcal/mol of atoms

# 5
# Ta2SiBr

A relaxed Ta2SiBr crystal (PBE-GGA, Alexandria via LeMat-Bulk).

a = 4.685 Å, b = 4.685 Å, c = 5.654 Å
α = 103.85°, β = 103.85°, γ = 36.37°
Sites, in units of the cell vectors:
Ta (0.242, 0.242, 0.230)
Ta (0.758, 0.758, 0.770)
Si (0.500, 0.500, 0.000)
Br (0.000, 0.000, 0.500)

VASP energy	-29.40	eV per cell
relative energy among the computed polymorphs	1.03	eV per formula unit
formation energy (no corrections)	8.11	kcal/mol of atoms

# 6
# TaSiBr2

A relaxed TaSiBr2 crystal (PBE-GGA, Alexandria via LeMat-Bulk).

a = 3.207 Å, b = 4.699 Å, c = 5.401 Å
α = 90.00°, β = 92.47°, γ = 90.00°
Sites, in units of the cell vectors:
Ta (0.000, 0.000, 0.000)
Si (0.500, 0.000, 0.500)
Br (0.191, 0.500, 0.246)
Br (0.809, 0.500, 0.754)

VASP energy	-18.50	eV per cell
relative energy among the computed polymorphs	3.33	eV per formula unit
formation energy (no corrections)	12.24	kcal/mol of atoms